A geometry-optimized SrAc2RuN4 structure. Source: the Alexandria database, functional GGA-PBE.

a b c (Å): 3.7387 13.0419 12.6667
angles (deg): 90.00 90.00 90.00
Space group Cmcm (No. 63)
Unique sites:
Sr: 0.0000 0.1335 0.2500 (multiplicity 4)
Ac: 0.0000 0.3691 0.0364 (multiplicity 8)
Ru: 0.0000 0.1608 0.7500 (multiplicity 4)
N: 0.0000 0.0000 0.0000 (multiplicity 4)
N: 0.0000 0.2618 0.6327 (multiplicity 8)
N: 0.0000 0.3908 0.2500 (multiplicity 4)

DFT total energy	-7.11	eV per atom
raw formation energy	-0.55	eV/atom